A relaxed structure of Y3Al3Cu2Ni. Source: OQMD, functional GGA-PBE.

```
Y3Al3Cu2Ni
1.0
6.982 0.000 0.000
-3.491 6.047 0.000
0.000 0.000 4.020
Y Al Cu Ni
3 3 2 1
Cartesian
-2.058 3.564 0.000 Y
1.434 2.483 0.000 Y
4.115 0.000 0.000 Y
-0.803 1.391 2.010 Al
1.606 0.000 2.010 Al
2.688 4.656 2.010 Al
0.000 4.031 2.010 Cu
3.491 2.016 2.010 Cu
0.000 0.000 0.000 Ni
```

Properties
uncorrected energy	-5.36	eV/atom
size of the total moment	0.001	μB/f.u.
space group	P-62m, No. 189